1.
InGeI4 PBE optimized geometry; total moment = 0.0 μB per formula unit; formation energy without anion corrections = -0.3170 eV/atom; energy above the most stable polymorph in this dataset = 8 meV/atom; calculated total energy = -0.1894 Ry/atom
1.0
5.861 0.000 0.000
-2.931 10.133 -1.089
0.000 -4.228 10.172
In I Ge
2 8 2
Cartesian
0.000 3.367 2.194
2.931 2.538 6.889
2.931 8.032 -0.664
0.000 -2.127 9.746
2.931 6.431 5.166
0.000 6.345 1.759
2.931 -0.440 7.324
0.000 -0.526 3.916
0.000 2.823 6.247
2.931 3.082 2.835
0.000 -1.059 6.953
2.931 6.964 2.130



2.
In2GeI PBE optimized geometry; total moment = 0.0 μB per formula unit; formation energy without anion corrections = 0.2200 eV/atom; energy above the most stable polymorph in this dataset = 181 meV/atom; calculated total energy = -0.1978 Ry/atom
1.0
0.152 1.827 5.142
-4.628 0.530 2.847
-1.064 -3.399 4.137
I In Ge
1 2 1
Cartesian
-2.770 -0.521 6.063
-1.385 -0.261 3.031
-4.155 -0.782 9.094
0.000 0.000 0.000



3.
In2GeI4 PBE optimized geometry; total moment = 0.0 μB per formula unit; formation energy without anion corrections = -0.3690 eV/atom; energy above the most stable polymorph in this dataset = 0 meV/atom; calculated total energy = -0.1982 Ry/atom
1.0
4.449 0.000 0.000
0.000 9.014 -0.123
-2.224 -4.497 7.632
I In Ge
4 2 1
Cartesian
0.000 6.567 1.667
2.224 1.230 1.703
0.000 3.286 5.806
2.224 -2.050 5.842
2.224 4.665 3.302
0.000 -0.148 4.207
0.000 0.000 0.000



4.
InGeI3 PBE optimized geometry; total moment = 0.0 μB per formula unit; formation energy without anion corrections = -0.3260 eV/atom; calculated total energy = -0.2005 Ry/atom
1.0
-3.307 -6.707 4.691
6.213 -0.068 4.282
-5.107 11.397 7.590
I Ge In
12 4 4
Cartesian
-0.684 2.700 14.298
0.541 6.067 8.365
2.300 -2.994 7.508
-5.906 5.878 12.572
-2.741 -1.445 8.198
3.706 -1.256 3.991
0.047 1.083 10.508
0.448 0.388 6.039
-4.501 7.617 9.055
-2.247 3.539 6.055
-2.649 4.234 10.524
-1.516 1.922 2.265
1.360 -2.079 5.144
-1.991 4.385 3.460
-3.560 6.701 11.419
-0.209 0.237 13.103
-1.477 9.298 8.101
0.700 4.350 11.512
-2.900 0.272 5.051
-0.723 -4.676 8.462



5.
InGeI3 PBE optimized geometry; total moment = 0.0 μB per formula unit; formation energy without anion corrections = -0.2799 eV/atom; calculated total energy = -0.1971 Ry/atom
1.0
-5.141 -1.772 2.212
-0.472 -3.982 -4.288
2.795 -3.933 3.345
I In Ge
3 1 1
Cartesian
-2.571 -0.886 1.106
1.397 -1.966 1.672
-0.236 -1.991 -2.144
-1.409 -4.844 0.635
0.000 0.000 0.000



6.
InGeI2 PBE optimized geometry; total moment = 0.0 μB per formula unit; formation energy without anion corrections = -0.0314 eV/atom; energy above the most stable polymorph in this dataset = 0 meV/atom; calculated total energy = -0.1944 Ry/atom
1.0
4.054 0.000 0.000
2.027 3.511 0.000
2.027 1.170 9.619
I In Ge
2 1 1
Cartesian
2.027 1.170 1.989
6.081 3.511 7.629
4.054 2.341 4.809
0.000 0.000 0.000



7.
InGe2I PBE optimized geometry; total moment = 0.0 μB per formula unit; formation energy without anion corrections = 0.4411 eV/atom; energy above the most stable polymorph in this dataset = 0 meV/atom; calculated total energy = -0.2161 Ry/atom
1.0
-0.600 -4.624 2.400
-4.395 -1.015 2.674
-3.450 -3.488 -1.853
In Ge I
1 2 1
Cartesian
0.000 0.000 0.000
-6.334 -6.845 2.416
-2.111 -2.282 0.805
-4.223 -4.563 1.611



8.
InGe2I PBE optimized geometry; total moment = 0.0 μB per formula unit; formation energy without anion corrections = 0.4553 eV/atom; energy above the most stable polymorph in this dataset = 14 meV/atom; calculated total energy = -0.2150 Ry/atom
1.0
6.167 0.000 0.000
0.000 6.167 0.000
3.084 3.084 7.433
In Ge I
2 4 2
Cartesian
3.084 6.167 3.717
3.084 3.084 0.000
4.625 4.870 5.575
4.380 1.542 1.858
7.709 7.464 5.575
1.787 4.625 1.858
6.167 3.084 3.717
0.000 0.000 0.000



9.
In4GeI6 PBE optimized geometry; total moment = 0.0 μB per formula unit; formation energy without anion corrections = -0.4152 eV/atom; calculated total energy = -0.1967 Ry/atom
1.0
9.100 0.000 0.000
0.000 9.100 0.000
0.000 0.000 10.169
In I Ge
8 12 2
Cartesian
5.893 7.756 7.627
7.756 3.206 2.542
3.206 1.344 7.627
5.893 7.756 2.542
1.344 5.893 7.627
7.756 3.206 7.627
3.206 1.344 2.542
1.344 5.893 2.542
7.765 6.365 5.084
1.815 3.215 0.000
1.335 2.735 5.084
7.285 5.885 0.000
4.550 4.550 7.185
4.550 4.550 2.984
3.215 7.285 0.000
0.000 0.000 2.100
2.735 7.765 5.084
6.365 1.335 5.084
5.885 1.815 0.000
0.000 0.000 8.068
4.550 4.550 0.000
0.000 0.000 5.084



10.
InGeI PBE optimized geometry; total moment = 0.0 μB per formula unit; formation energy without anion corrections = -0.1156 eV/atom; calculated total energy = -0.2267 Ry/atom
1.0
4.051 0.000 0.000
-2.026 3.648 0.484
0.000 -1.782 13.060
In I Ge
2 2 2
Cartesian
0.000 -0.342 9.255
2.026 2.208 4.289
0.000 1.069 2.098
2.026 0.797 11.445
2.026 0.200 7.217
0.000 1.666 6.327



11.
In2GeI6 PBE optimized geometry; total moment = 0.0 μB per formula unit; formation energy without anion corrections = -0.3401 eV/atom; calculated total energy = -0.1834 Ry/atom
1.0
10.157 0.349 0.338
3.368 10.191 -0.359
3.368 -0.029 10.197
In I Ge
4 12 2
Cartesian
4.885 2.438 4.115
6.928 6.145 7.704
9.964 4.366 2.472
12.007 8.073 6.061
6.981 3.606 9.397
9.924 2.367 0.361
4.845 0.263 2.185
9.911 6.905 0.779
9.577 6.520 6.461
4.832 0.828 6.707
12.060 9.683 3.469
6.968 8.144 9.815
7.315 3.992 3.715
12.047 10.248 7.990
4.499 6.495 6.138
12.393 4.016 4.038
5.907 1.068 9.239
10.985 9.443 0.937



12.
In2GeI4 PBE optimized geometry; total moment = 0.0 μB per formula unit; formation energy without anion corrections = -0.3333 eV/atom; energy above the most stable polymorph in this dataset = 36 meV/atom; calculated total energy = -0.1956 Ry/atom
1.0
5.884 0.000 0.000
0.000 5.884 0.000
2.942 2.942 8.567
In I Ge
2 4 1
Cartesian
2.942 2.942 2.322
5.884 5.884 6.245
0.000 2.942 0.000
2.942 0.000 0.000
5.884 5.884 2.991
2.942 2.942 5.576
0.000 0.000 0.000